Entry 1:
DFT (PBE) results for a relaxed structure of ZnFeCuOs.

For the formation energy, the calculation gives 0.374 eV/atom. Its total magnetization is 14.13 μB/cell.

The space group is F-43m (No. 216) and the conventional cell measures 5.9229, 5.9229 and 5.9229 Å, with angles of 90.00, 90.00 and 90.00 degrees. Symmetry generates all atoms from Zn at (0.0000, 0.0000, 0.0000), Fe at (0.2500, 0.2500, 0.2500), Cu at (0.0000, 0.0000, 0.5000) and Os at (0.2500, 0.2500, 0.7500).

***

Entry 2:
DFT (PBE) results for a relaxed structure of ZnFeCuOs.

For the formation energy, the calculation gives 0.247 eV/atom. Its total magnetization is 12.95 μB/cell.

The space group is F-43m (No. 216) and the conventional cell measures 5.9236, 5.9236 and 5.9236 Å, with angles of 90.00, 90.00 and 90.00 degrees. Symmetry generates all atoms from Zn at (0.0000, 0.0000, 0.0000), Fe at (0.0000, 0.0000, 0.5000), Cu at (0.2500, 0.2500, 0.2500) and Os at (0.2500, 0.2500, 0.7500).

***

Entry 3:
DFT (PBE) results for a relaxed structure of Fe3CuP5.

Its total magnetization is 2.56 μB/cell. The final energy is -6.00 eV/atom.

The space group is P6/mmm (No. 191) and the conventional cell measures 4.7428, 4.7428 and 6.4876 Å, with angles of 90.00, 90.00 and 120.00 degrees. Symmetry generates all atoms from Fe at (0.0000, 0.5000, 0.0000), Cu at (0.0000, 0.0000, 0.5000), P at (0.0000, 0.0000, 0.0000) and P at (0.3333, 0.6667, 0.2853).

***

Entry 4:
DFT (PBE) results for a relaxed structure of PrFeCuP2.

Its total magnetization is 3.00 μB/cell. The final energy is -6.24 eV/atom.

The space group is I-4m2 (No. 119) and the conventional cell measures 3.9327, 3.9327 and 10.1440 Å, with angles of 90.00, 90.00 and 90.00 degrees. Symmetry generates all atoms from Pr at (0.0000, 0.0000, 0.0000), Fe at (0.0000, 0.5000, 0.2500), Cu at (0.0000, 0.5000, 0.7500) and P at (0.0000, 0.0000, 0.3692).

***

Entry 5:
DFT (PBE) results for a relaxed structure of PrFeCu2P4.

Its total magnetization is 0.57 μB/cell. The final energy is -5.58 eV/atom.

The space group is P4mm (No. 99) and the conventional cell measures 3.7157, 3.7157 and 8.9402 Å, with angles of 90.00, 90.00 and 90.00 degrees. Symmetry generates all atoms from Pr at (0.0000, 0.0000, 0.0000), Fe at (0.5000, 0.5000, 0.5783), Cu at (0.0000, 0.5000, 0.3103), P at (0.0000, 0.0000, 0.4739), P at (0.0000, 0.5000, 0.7285) and P at (0.5000, 0.5000, 0.1387).

***

Entry 6:
DFT (PBE) results for a relaxed structure of PaFeCu.

For the formation energy, the calculation gives 0.211 eV/atom. Its total magnetization is 0.04 μB/cell.

The space group is F-43m (No. 216) and the conventional cell measures 5.9932, 5.9932 and 5.9932 Å, with angles of 90.00, 90.00 and 90.00 degrees. Symmetry generates all atoms from Pa at (0.0000, 0.0000, 0.0000), Fe at (0.2500, 0.2500, 0.7500) and Cu at (0.0000, 0.0000, 0.5000).

***

Entry 7:
DFT (PBE) results for a relaxed structure of Fe3CuPb5.

Its total magnetization is 6.23 μB/cell. The final energy is -4.81 eV/atom.

The space group is P6/mmm (No. 191) and the conventional cell measures 5.3504, 5.3504 and 8.2732 Å, with angles of 90.00, 90.00 and 120.00 degrees. Symmetry generates all atoms from Fe at (0.0000, 0.5000, 0.0000), Cu at (0.0000, 0.0000, 0.5000), Pb at (0.0000, 0.0000, 0.0000) and Pb at (0.3333, 0.6667, 0.2971).

***

Entry 8:
DFT (PBE) results for a relaxed structure of FeCuPtPb.

Its total magnetization is 12.03 μB/cell. The final energy is -5.25 eV/atom.

The space group is F-43m (No. 216) and the conventional cell measures 6.3820, 6.3820 and 6.3820 Å, with angles of 90.00, 90.00 and 90.00 degrees. Symmetry generates all atoms from Fe at (0.0000, 0.0000, 0.0000), Cu at (0.0000, 0.0000, 0.5000), Pt at (0.2500, 0.2500, 0.7500) and Pb at (0.2500, 0.2500, 0.2500).

***

Entry 9:
DFT (PBE) results for a relaxed structure of FeCuRePb.

Its total magnetization is 13.19 μB/cell. The final energy is -6.25 eV/atom.

The space group is F-43m (No. 216) and the conventional cell measures 6.3386, 6.3386 and 6.3386 Å, with angles of 90.00, 90.00 and 90.00 degrees. Symmetry generates all atoms from Fe at (0.0000, 0.0000, 0.0000), Cu at (0.2500, 0.2500, 0.7500), Re at (0.2500, 0.2500, 0.2500) and Pb at (0.0000, 0.0000, 0.5000).

***

Entry 10:
DFT (PBE) results for a relaxed structure of FeCuSbPb.

Its total magnetization is 9.78 μB/cell. The final energy is -4.51 eV/atom.

The space group is F-43m (No. 216) and the conventional cell measures 6.7828, 6.7828 and 6.7828 Å, with angles of 90.00, 90.00 and 90.00 degrees. Symmetry generates all atoms from Fe at (0.0000, 0.0000, 0.0000), Cu at (0.0000, 0.0000, 0.5000), Sb at (0.2500, 0.2500, 0.2500) and Pb at (0.2500, 0.2500, 0.7500).

***

Entry 11:
DFT (PBE) results for a relaxed structure of ScFeCuPb.

Its total magnetization is 9.75 μB/cell. The final energy is -5.41 eV/atom.

The space group is F-43m (No. 216) and the conventional cell measures 6.5564, 6.5564 and 6.5564 Å, with angles of 90.00, 90.00 and 90.00 degrees. Symmetry generates all atoms from Sc at (0.0000, 0.0000, 0.0000), Fe at (0.0000, 0.0000, 0.5000), Cu at (0.2500, 0.2500, 0.7500) and Pb at (0.2500, 0.2500, 0.2500).

***

Entry 12:
DFT (PBE) results for a relaxed structure of ScFeCuPb.

Its total magnetization is 6.75 μB/cell. The final energy is -5.45 eV/atom.

The space group is F-43m (No. 216) and the conventional cell measures 6.4768, 6.4768 and 6.4768 Å, with angles of 90.00, 90.00 and 90.00 degrees. Symmetry generates all atoms from Sc at (0.0000, 0.0000, 0.0000), Fe at (0.2500, 0.2500, 0.7500), Cu at (0.2500, 0.2500, 0.2500) and Pb at (0.0000, 0.0000, 0.5000).